Computed, not measured: LiMn3P after structural relaxation at the PBE level of DFT.

mass density = 3.96 g cm⁻³
energy above the most stable polymorph in this dataset = 0.0 kJ per mole of atoms
calculated total energy = -6.720 eV per atom

Cell: 4.3972 4.3972 4.3972 Å, 90.00 90.00 90.00°
Fractional coordinates of all 5 atoms:
Li 0.0000 0.0000 0.0000
Mn 0.0000 0.5000 0.5000
Mn 0.5000 0.0000 0.5000
Mn 0.5000 0.5000 0.0000
P 0.5000 0.5000 0.5000